1.
TbUSeO2: relaxed, PBE.

Cell and atoms, written as POSCAR:
```
TbUSeO2
1.0
3.8352 0.0000 0.0000
0.0000 3.8352 0.0000
0.0000 0.0000 12.1873
Tb U Se O
2 2 2 4
direct
0.0000 0.0000 0.0000 Tb
0.5000 0.5000 0.5000 Tb
0.0000 0.0000 0.2963 U
0.5000 0.5000 0.7963 U
0.0000 0.0000 0.6498 Se
0.5000 0.5000 0.1498 Se
0.0000 0.5000 0.4012 O
0.0000 0.5000 0.9012 O
0.5000 0.0000 0.4012 O
0.5000 0.0000 0.9012 O
```

Properties
Formation energy (no corrections), eV/atom: -2.65
SG: No. 107

=====

2.
Y6Ag5Rh: relaxed, PBE.

Cell and atoms, written as POSCAR:
```
Y6Ag5Rh
1.0
2.5434 -7.6462 0.0000
2.5434 7.6462 0.0000
0.0000 0.0000 7.2510
Y Ag Rh
6 5 1
direct
0.0000 0.0000 0.2374 Y
0.0000 0.0000 0.7626 Y
0.3401 0.6599 0.2443 Y
0.3401 0.6599 0.7557 Y
0.6599 0.3401 0.2443 Y
0.6599 0.3401 0.7557 Y
0.1671 0.8329 0.5000 Ag
0.1737 0.8263 0.0000 Ag
0.5000 0.5000 0.5000 Ag
0.8263 0.1737 0.0000 Ag
0.8329 0.1671 0.5000 Ag
0.5000 0.5000 0.0000 Rh
```

Properties
Formation energy from the elements, kcal/mol of atoms: -9.61
SG: No. 65

=====

3.
LaIn2Pd2: relaxed, PBE.

Cell and atoms, written as POSCAR:
```
LaIn2Pd2
1.0
8.3158 0.0000 0.0000
0.0000 8.3158 0.0000
0.0000 0.0000 3.1083
La In Pd
2 4 4
direct
0.0000 0.0000 0.0000 La
0.5000 0.5000 0.0000 La
0.1241 0.3759 0.0000 In
0.3759 0.8759 0.0000 In
0.6241 0.1241 0.0000 In
0.8759 0.6241 0.0000 In
0.1744 0.6744 0.5000 Pd
0.3256 0.1744 0.5000 Pd
0.6744 0.8256 0.5000 Pd
0.8256 0.3256 0.5000 Pd
```

Properties
Formation energy from the elements, kcal/mol of atoms: -10.77
SG: No. 127

=====

4.
ZnCuRh2: relaxed, PBE.

Cell and atoms, written as POSCAR:
```
ZnCuRh2
1.0
2.7434 0.0000 0.0000
-1.3717 2.3759 0.0000
0.0000 0.0000 25.3389
Zn Cu Rh
3 3 6
direct
0.0000 0.0000 0.0000 Zn
0.3333 0.6667 0.6667 Zn
0.6667 0.3333 0.3333 Zn
0.0000 0.0000 0.8332 Cu
0.3333 0.6667 0.4998 Cu
0.6667 0.3333 0.1665 Cu
0.0000 0.0000 0.4163 Rh
0.0000 0.0000 0.5836 Rh
0.3333 0.6667 0.0829 Rh
0.3333 0.6667 0.2503 Rh
0.6667 0.3333 0.7496 Rh
0.6667 0.3333 0.9169 Rh
```

Properties
Formation energy from the elements, kcal/mol of atoms: -1.98
SG: No. 160

=====

5.
Ba2LaSi: relaxed, PBE.

Cell and atoms, written as POSCAR:
```
Ba2LaSi
1.0
4.0347 0.0000 0.0000
0.0000 4.0347 0.0000
0.0000 0.0000 10.3320
Ba La Si
2 1 1
direct
0.0000 0.0000 0.0000 Ba
0.5000 0.5000 0.3677 Ba
0.0000 0.0000 0.6848 La
0.5000 0.5000 0.8023 Si
```

Properties
Formation energy (no corrections), eV/atom: -0.17
SG: No. 99

=====

6.
AlZn3Pt6: relaxed, PBE.

Cell and atoms, written as POSCAR:
```
AlZn3Pt6
1.0
8.4049 0.0000 0.0000
0.0000 4.0026 0.0000
-0.7292 0.0000 8.8635
Al Zn Pt
2 6 12
direct
0.0630 0.2500 0.3862 Al
0.9370 0.7500 0.6138 Al
0.2484 0.2500 0.0077 Zn
0.3465 0.7500 0.8014 Zn
0.4464 0.2500 0.6024 Zn
0.5536 0.7500 0.3976 Zn
0.6535 0.2500 0.1986 Zn
0.7516 0.7500 0.9923 Zn
0.0605 0.7500 0.8978 Pt
0.1400 0.2500 0.6865 Pt
0.1549 0.7500 0.1993 Pt
0.2478 0.7500 0.5020 Pt
0.3648 0.2500 0.3080 Pt
0.4607 0.7500 0.1021 Pt
0.5393 0.2500 0.8979 Pt
0.6352 0.7500 0.6920 Pt
0.7522 0.2500 0.4980 Pt
0.8451 0.2500 0.8007 Pt
0.8600 0.7500 0.3135 Pt
0.9395 0.2500 0.1022 Pt
```

Properties
Formation energy from the elements, kcal/mol of atoms: -13.67
SG: No. 11

=====

7.
PrNdSm2Er2: relaxed, PBE.

Cell and atoms, written as POSCAR:
```
PrNdSm2Er2
1.0
6.5898 0.0000 0.0000
0.0000 18.1906 0.0000
0.0000 0.0000 3.4281
Pr Nd Sm Er
2 2 4 4
direct
0.0000 0.0000 0.0000 Pr
0.5000 0.5000 0.5000 Pr
0.0000 0.5000 0.0000 Nd
0.5000 0.0000 0.5000 Nd
0.2209 0.1887 0.0000 Sm
0.2791 0.6887 0.5000 Sm
0.7209 0.3113 0.5000 Sm
0.7791 0.8113 0.0000 Sm
0.2194 0.3519 0.5000 Er
0.2806 0.8519 0.0000 Er
0.7194 0.1481 0.0000 Er
0.7806 0.6481 0.5000 Er
```

Properties
Formation energy from the elements, kcal/mol of atoms: 6.16
SG: No. 58

=====

8.
FeTcRu2: relaxed, PBE.

Cell and atoms, written as POSCAR:
```
FeTcRu2
1.0
2.6889 0.0000 0.0000
0.0000 3.7777 0.0000
0.0000 0.0000 5.3323
Fe Tc Ru
1 1 2
direct
0.0000 0.0000 0.0000 Fe
0.5000 0.5000 0.7526 Tc
0.0000 0.0000 0.4942 Ru
0.5000 0.5000 0.2344 Ru
```

Properties
Formation energy from the elements, kcal/mol of atoms: 2.50
SG: No. 25

=====

9.
CrNiN: relaxed, PBE.

Cell and atoms, written as POSCAR:
```
CrNiN
1.0
2.9418 0.0000 0.0000
-1.4709 2.5477 0.0000
0.0000 0.0000 4.1239
Cr Ni N
1 1 1
direct
0.0000 0.0000 0.0000 Cr
0.6667 0.3333 0.5108 Ni
0.3333 0.6667 0.7998 N
```

Properties
Formation energy (no corrections), eV/atom: 0.02
SG: No. 156

=====

10.
BaEuHgPt: relaxed, PBE.

Cell and atoms, written as POSCAR:
```
BaEuHgPt
1.0
7.7662 0.0000 0.0000
0.0000 7.7662 0.0000
0.0000 0.0000 7.7662
Ba Eu Hg Pt
4 4 4 4
direct
0.0000 0.0000 0.0000 Ba
0.0000 0.5000 0.5000 Ba
0.5000 0.0000 0.5000 Ba
0.5000 0.5000 0.0000 Ba
0.0000 0.0000 0.5000 Eu
0.0000 0.5000 0.0000 Eu
0.5000 0.0000 0.0000 Eu
0.5000 0.5000 0.5000 Eu
0.2500 0.2500 0.7500 Hg
0.2500 0.7500 0.2500 Hg
0.7500 0.2500 0.2500 Hg
0.7500 0.7500 0.7500 Hg
0.2500 0.2500 0.2500 Pt
0.2500 0.7500 0.7500 Pt
0.7500 0.2500 0.7500 Pt
0.7500 0.7500 0.2500 Pt
```

Properties
Formation energy from the elements, kcal/mol of atoms: -13.03
SG: No. 216

=====

11.
CsNi2AgCl8: relaxed, PBE.

Cell and atoms, written as POSCAR:
```
CsNi2AgCl8
1.0
3.2509 1.8769 9.5681
-3.2509 1.8769 9.5681
0.0000 -3.7538 9.5681
Cs Ni Ag Cl
1 2 1 8
direct
0.0000 0.0000 0.0000 Cs
0.2452 0.2452 0.2452 Ni
0.7548 0.7548 0.7548 Ni
0.5000 0.5000 0.5000 Ag
0.1002 0.7718 0.4605 Cl
0.2282 0.5395 0.8998 Cl
0.3209 0.3209 0.3209 Cl
0.4605 0.1002 0.7718 Cl
0.5395 0.8998 0.2282 Cl
0.6791 0.6791 0.6791 Cl
0.7718 0.4605 0.1002 Cl
0.8998 0.2282 0.5395 Cl
```

Properties
Formation energy (no corrections), eV/atom: -0.71
SG: No. 148

=====

12.
Y4ScP: relaxed, PBE.

Cell and atoms, written as POSCAR:
```
Y4ScP
1.0
0.0000 4.4590 4.4590
4.4590 0.0000 4.4590
4.4590 4.4590 0.0000
Y Sc P
4 1 1
direct
0.3760 0.3760 0.3760 Y
0.3760 0.3760 0.8720 Y
0.3760 0.8720 0.3760 Y
0.8720 0.3760 0.3760 Y
0.7500 0.7500 0.7500 Sc
0.0000 0.0000 0.0000 P
```

Properties
Formation energy from the elements, kcal/mol of atoms: 11.28
SG: No. 216

=====

13.
NdDySc2Tl4: relaxed, PBE.

Cell and atoms, written as POSCAR:
```
NdDySc2Tl4
1.0
2.6399 1.5241 8.6410
-2.6399 1.5241 8.6410
0.0000 -3.0483 8.6410
Nd Dy Sc Tl
1 1 2 4
direct
0.0000 0.0000 0.0000 Nd
0.5000 0.5000 0.5000 Dy
0.2498 0.2498 0.2498 Sc
0.7502 0.7502 0.7502 Sc
0.1266 0.1266 0.1266 Tl
0.3768 0.3768 0.3768 Tl
0.6232 0.6232 0.6232 Tl
0.8734 0.8734 0.8734 Tl
```

Properties
Formation energy from the elements, kcal/mol of atoms: -6.85
SG: No. 166